## Ba3ScO (PBE)

Data for an optimized crystal structure of Ba3ScO.

POSCAR file:
```
Ba3ScO
1.0
5.633 0.000 0.000
0.000 5.633 0.000
0.000 0.000 5.633
Ba Sc O
3 1 1
Cartesian
0.000 0.000 2.817
0.000 2.817 0.000
2.817 0.000 0.000
2.817 2.817 2.817
0.000 0.000 0.000
```

## Properties
Total moment, μB per atom: 0.42
Offset from the most stable computed form, eV/atom: 0.0000
ΔE_f (raw), eV/f.u.: -3.6

=====

## SrScPb2 (PBE)

Data for an optimized crystal structure of SrScPb2.

POSCAR file:
```
SrScPb2
1.0
4.703 -2.205 0.000
4.703 2.205 0.000
-2.070 0.000 6.144
Sr Sc Pb
1 1 2
Cartesian
0.000 0.000 0.000
3.669 0.000 3.072
0.822 0.000 4.216
6.515 0.000 1.929
```

## Properties
Total moment, μB per atom: 0.00
E_form, meV/atom: -362

=====

## PrNdDy2Er (PBE)

Data for an optimized crystal structure of PrNdDy2Er.

POSCAR file:
```
PrNdDy2Er
1.0
3.224 -8.361 0.000
3.224 8.361 0.000
0.000 0.000 6.443
Pr Nd Dy Er
2 2 4 2
Cartesian
3.224 5.720 4.832
3.224 -5.720 1.611
3.224 2.626 4.832
3.224 -2.626 1.611
1.596 0.000 0.000
1.596 0.000 3.222
4.851 0.000 0.000
4.851 0.000 3.222
3.224 4.428 1.611
3.224 -4.428 4.832
```

## Properties
Total moment, μB per atom: 0.00
E_form, meV/atom: 349

=====

## BiP2OsCl (PBE)

Data for an optimized crystal structure of BiP2OsCl.

POSCAR file:
```
BiP2OsCl
1.0
4.609 0.000 0.000
0.000 4.609 0.000
0.000 0.000 4.999
Bi P Os Cl
1 2 1 1
Cartesian
0.000 0.000 0.000
0.000 2.304 2.499
2.304 0.000 2.499
2.304 2.304 2.499
2.304 2.304 0.000
```

## Properties
Total moment, μB per atom: 0.00
Offset from the most stable computed form, eV/atom: 0.0000
ΔE_f (raw), eV/f.u.: 2.3

=====

## CaTe2Ru (PBE)

Data for an optimized crystal structure of CaTe2Ru.

POSCAR file:
```
CaTe2Ru
1.0
-3.981 3.981 3.459
3.981 -3.981 3.459
3.981 3.981 -3.459
Ca Te Ru
2 4 2
Cartesian
0.000 0.000 0.000
0.000 3.981 1.730
1.990 -1.349 2.595
2.632 1.990 0.865
1.990 5.330 -0.865
1.349 1.990 4.324
3.981 0.000 1.730
0.000 0.000 3.459
```

## Properties
Total moment, μB per atom: 0.00
Offset from the most stable computed form, eV/atom: 0.2564
ΔE_f (raw), eV/f.u.: -1.8

=====

## YHoSn2 (PBE)

Data for an optimized crystal structure of YHoSn2.

POSCAR file:
```
YHoSn2
1.0
3.472 0.000 0.000
0.000 3.472 0.000
0.000 0.000 8.775
Y Ho Sn
1 1 2
Cartesian
0.000 0.000 0.000
0.000 0.000 4.388
1.736 1.736 2.206
1.736 1.736 6.569
```

## Properties
Total moment, μB per atom: 0.00
E_form, meV/atom: -630